DFT (PBE-GGA) results for a geometry-optimized InHgAs2Rh structure.

Lattice parameters (Å, degrees): 5.121 5.335 5.121 90.00 90.00 90.00
Atoms (fractional coordinates):
Hg: 0.000 0.000 0.000
In: 0.000 0.500 0.000
Rh: 0.500 0.500 0.500
As: 0.000 0.000 0.500
As: 0.500 0.000 0.000

Summary:
* energy of formation from the pure elements: 1.284 eV per atom
* spin magnetization: 0.0 μB/cell
* Fermi-level density of states: 5.944 states/eV/cell